# 1
First-principles (PBEsol) data for an optimized crystal structure of NdGa8Fe4, as listed in Alexandria via LeMat-Bulk.

Cell and atoms, written as POSCAR:
```
NdGa8Fe4
1.0
4.986 0.000 0.000
2.493 6.111 0.000
2.493 0.000 6.111
Nd Fe Ga
1 4 8
direct
0.000 0.000 0.000
0.000 0.500 0.000
0.000 0.000 0.500
0.500 0.000 0.500
0.500 0.500 0.000
0.000 0.341 0.659
0.725 0.775 0.775
0.500 0.225 0.775
0.659 0.341 0.341
0.275 0.225 0.225
0.341 0.659 0.659
0.000 0.659 0.341
0.500 0.775 0.225
```

- formation enthalpy at 0 K (kJ/mol of formula units) = -413

# 2
First-principles (PBEsol) data for an optimized crystal structure of Sc2TaPb, as listed in Alexandria via LeMat-Bulk.

Cell and atoms, written as POSCAR:
```
Sc2TaPb
1.0
-2.136 2.567 2.668
-2.743 0.971 -3.131
-0.205 -5.255 1.467
Sc Pb Ta
2 1 1
direct
0.750 0.250 0.500
0.250 0.750 0.500
0.500 0.500 0.000
0.000 0.000 0.000
```

- formation enthalpy at 0 K (kJ/mol of formula units) = 13

# 3
First-principles (PBEsol) data for an optimized crystal structure of LiCoBO3, as listed in Alexandria via LeMat-Bulk.

Cell and atoms, written as POSCAR:
```
LiCoBO3
1.0
2.978 0.000 0.000
0.000 8.133 0.000
0.000 -4.066 7.043
O Co Li B
9 3 3 3
direct
0.500 0.195 0.108
0.500 0.862 0.446
0.000 0.530 0.757
0.000 0.226 0.470
0.500 0.584 0.138
0.500 0.892 0.087
0.000 0.243 0.774
0.500 0.554 0.416
0.500 0.913 0.805
0.500 0.038 0.358
0.500 0.320 0.962
0.500 0.642 0.680
0.000 0.698 0.046
0.000 0.348 0.302
0.000 0.954 0.652
0.500 0.667 0.333
0.500 0.000 0.000
0.000 0.333 0.667
```

- formation energy without anion corrections (meV/atom) = -1725.1

# 4
First-principles (PBEsol) data for an optimized crystal structure of BaTlVO4, as listed in Alexandria via LeMat-Bulk.

Cell and atoms, written as POSCAR:
```
BaTlVO4
1.0
-5.795 -0.210 0.826
0.741 -7.056 3.411
1.153 4.599 9.262
Ba O Tl V
4 16 4 4
direct
0.250 0.006 0.799
0.250 0.506 0.701
0.750 0.994 0.201
0.750 0.494 0.299
0.505 0.290 0.845
0.750 0.506 0.574
0.750 0.006 0.926
0.250 0.705 0.923
0.250 0.494 0.426
0.250 0.994 0.074
0.495 0.710 0.155
0.005 0.710 0.155
0.750 0.795 0.423
0.005 0.210 0.345
0.505 0.790 0.655
0.750 0.295 0.077
0.995 0.290 0.845
0.495 0.210 0.345
0.995 0.790 0.655
0.250 0.205 0.577
0.250 0.331 0.071
0.750 0.669 0.929
0.250 0.831 0.429
0.750 0.169 0.571
0.750 0.223 0.920
0.750 0.723 0.580
0.250 0.277 0.420
0.250 0.777 0.080
```

- formation energy without anion corrections (meV/atom) = -2360.4

# 5
First-principles (PBEsol) data for an optimized crystal structure of AsWSe2, as listed in Alexandria via LeMat-Bulk.

Cell and atoms, written as POSCAR:
```
AsWSe2
1.0
-1.573 -0.884 2.628
-2.519 -1.940 -0.227
3.814 -7.760 1.607
Se As W
2 1 1
direct
0.770 0.770 0.691
0.987 0.987 0.040
0.241 0.241 0.277
0.503 0.503 0.492
```

- formation energy without anion corrections (meV/atom) = 20.1

# 6
First-principles (PBEsol) data for an optimized crystal structure of Ba2ZrCd, as listed in Alexandria via LeMat-Bulk.

Cell and atoms, written as POSCAR:
```
Ba2ZrCd
1.0
-1.839 3.643 2.747
-4.560 -1.361 -1.248
3.025 -4.356 3.397
Ba Zr Cd
2 1 1
direct
0.250 0.750 0.500
0.750 0.250 0.500
0.000 0.000 0.000
0.500 0.500 0.000
```

- formation enthalpy at 0 K (kJ/mol of formula units) = 158

# 7
First-principles (PBEsol) data for an optimized crystal structure of CrHgIN2, as listed in Alexandria via LeMat-Bulk.

Cell and atoms, written as POSCAR:
```
CrHgIN2
1.0
-0.453 2.627 2.812
-3.668 0.560 -1.113
-1.684 -4.051 3.514
Cr Hg I N
1 1 1 2
direct
0.000 0.000 0.000
0.500 0.500 0.500
0.000 0.000 0.500
0.500 0.000 0.000
0.000 0.500 0.000
```

- formation energy without anion corrections (meV/atom) = 721.2

# 8
First-principles (PBEsol) data for an optimized crystal structure of LaMn2Ni3, as listed in Alexandria via LeMat-Bulk.

Cell and atoms, written as POSCAR:
```
LaMn2Ni3
1.0
-3.569 -1.236 1.024
-0.543 -2.203 -4.550
2.015 -2.615 3.866
Mn Ni La
2 3 1
direct
0.000 0.333 0.667
0.000 0.667 0.333
0.500 0.500 0.500
0.500 0.000 0.500
0.500 0.500 0.000
0.000 0.000 0.000
```

- formation enthalpy at 0 K (kJ/mol of formula units) = -44

# 9
First-principles (PBEsol) data for an optimized crystal structure of ZnSbIr2, as listed in Alexandria via LeMat-Bulk.

Cell and atoms, written as POSCAR:
```
ZnSbIr2
1.0
-2.549 1.505 0.638
-1.217 -3.286 2.891
2.293 2.663 2.878
Ir Sb Zn
2 1 1
direct
0.000 0.500 0.000
0.000 0.000 0.500
0.500 0.000 0.000
0.500 0.500 0.500
```

- formation energy without anion corrections (meV/atom) = 53.4

# 10
First-principles (PBEsol) data for an optimized crystal structure of CaP2NCl, as listed in Alexandria via LeMat-Bulk.

Cell and atoms, written as POSCAR:
```
CaP2NCl
1.0
5.238 0.000 0.000
0.000 5.500 0.000
0.000 0.000 5.500
P Cl N Ca
2 1 1 1
direct
0.000 0.000 0.500
0.000 0.500 0.000
0.500 0.000 0.000
0.500 0.500 0.500
0.000 0.000 0.000
```

- formation energy without anion corrections (meV/atom) = 1530.4

# 11
First-principles (PBEsol) data for an optimized crystal structure of Li5Cu3Ni2O10, as listed in Alexandria via LeMat-Bulk.

Cell and atoms, written as POSCAR:
```
Li5Cu3Ni2O10
1.0
-1.056 4.812 0.249
-4.562 -2.198 -0.964
1.574 -1.771 7.072
Cu Li O Ni
3 5 10 2
direct
0.697 0.884 0.896
0.000 0.500 0.000
0.303 0.116 0.104
0.206 0.906 0.402
0.794 0.094 0.598
0.400 0.278 0.785
0.500 0.500 0.500
0.600 0.722 0.215
0.787 0.471 0.751
0.213 0.529 0.249
0.059 0.022 0.838
0.130 0.328 0.542
0.870 0.672 0.458
0.554 0.121 0.337
0.657 0.335 0.077
0.941 0.978 0.162
0.343 0.665 0.923
0.446 0.879 0.663
0.101 0.675 0.692
0.899 0.325 0.308
```

- formation energy without anion corrections (meV/atom) = -1203.4

# 12
First-principles (PBEsol) data for an optimized crystal structure of TeRhW2, as listed in Alexandria via LeMat-Bulk.

Cell and atoms, written as POSCAR:
```
TeRhW2
1.0
-0.071 0.095 -3.066
1.681 -2.565 -0.118
-5.756 -3.773 0.017
Rh W Te
1 2 1
direct
0.500 0.500 0.000
0.000 0.000 0.244
0.000 0.000 0.756
0.500 0.500 0.500
```

- formation energy without anion corrections (meV/atom) = 483.2

# 13
First-principles (PBEsol) data for an optimized crystal structure of KCd2Bi2, as listed in Alexandria via LeMat-Bulk.

Cell and atoms, written as POSCAR:
```
KCd2Bi2
1.0
-2.944 -3.409 0.963
1.406 -2.273 -3.751
5.934 -0.500 5.355
Bi Cd K
2 2 1
direct
0.619 0.619 0.238
0.381 0.381 0.762
0.750 0.250 0.500
0.250 0.750 0.500
0.000 0.000 0.000
```

- formation enthalpy at 0 K (kJ/mol of formula units) = -86

# 14
First-principles (PBEsol) data for an optimized crystal structure of Li3Cu, as listed in Alexandria via LeMat-Bulk.

Cell and atoms, written as POSCAR:
```
Li3Cu
1.0
-3.489 -0.506 1.969
-1.356 -2.337 -3.002
3.760 -1.451 2.148
Cu Li
1 3
direct
0.000 0.000 0.000
0.750 0.250 0.500
0.500 0.500 0.000
0.250 0.750 0.500
```

- formation enthalpy at 0 K (kJ/mol of formula units) = 21

# 15
First-principles (PBEsol) data for an optimized crystal structure of Y2AgRh2, as listed in Alexandria via LeMat-Bulk.

Cell and atoms, written as POSCAR:
```
Y2AgRh2
1.0
-2.320 4.648 -0.222
-0.379 -3.303 -4.285
-2.716 -1.151 4.282
Rh Ag Y
2 1 2
direct
0.341 0.681 0.341
0.659 0.319 0.659
0.000 0.000 0.000
0.750 0.500 0.250
0.250 0.500 0.750
```

- formation enthalpy at 0 K (kJ/mol of formula units) = -145

# 16
First-principles (PBEsol) data for an optimized crystal structure of CaMnO3, as listed in Alexandria via LeMat-Bulk.

Cell and atoms, written as POSCAR:
```
CaMnO3
1.0
5.222 0.000 0.000
0.000 5.278 0.000
0.000 0.000 7.406
Mn Ca O
4 4 12
direct
0.000 0.500 0.000
0.500 0.000 0.000
0.500 0.000 0.500
0.000 0.500 0.500
0.991 0.043 0.250
0.009 0.957 0.750
0.509 0.543 0.250
0.491 0.457 0.750
0.791 0.790 0.038
0.709 0.290 0.038
0.291 0.710 0.962
0.574 0.014 0.750
0.709 0.290 0.462
0.926 0.514 0.750
0.209 0.210 0.962
0.791 0.790 0.462
0.291 0.710 0.538
0.209 0.210 0.538
0.426 0.986 0.250
0.074 0.486 0.250
```

- formation energy without anion corrections (meV/atom) = -2313.5

# 17
First-principles (PBEsol) data for an optimized crystal structure of CdTe2PdI, as listed in Alexandria via LeMat-Bulk.

Cell and atoms, written as POSCAR:
```
CdTe2PdI
1.0
5.259 0.000 0.000
0.000 5.259 0.000
0.000 0.000 5.337
Cd Te I Pd
1 2 1 1
direct
0.500 0.500 0.500
0.500 0.000 0.000
0.000 0.500 0.000
0.000 0.000 0.500
0.000 0.000 0.000
```

- formation energy without anion corrections (meV/atom) = 232.4

# 18
First-principles (PBEsol) data for an optimized crystal structure of LiSc2Br, as listed in Alexandria via LeMat-Bulk.

Cell and atoms, written as POSCAR:
```
LiSc2Br
1.0
-1.671 0.996 -3.464
-2.312 -3.225 0.188
-1.612 3.845 4.161
Br Sc Li
1 2 1
direct
0.500 0.500 0.000
0.000 0.000 0.000
0.750 0.250 0.500
0.250 0.750 0.500
```

- formation energy without anion corrections (meV/atom) = -117.7

# 19
First-principles (PBEsol) data for an optimized crystal structure of CsRb2H2, as listed in Alexandria via LeMat-Bulk.

Cell and atoms, written as POSCAR:
```
CsRb2H2
1.0
-1.370 -3.862 1.929
4.166 2.028 7.019
-6.848 3.898 2.939
Rb H Cs
4 4 2
direct
0.500 0.351 0.149
0.500 0.649 0.851
0.500 0.149 0.649
0.500 0.851 0.351
0.000 0.337 0.837
0.000 0.163 0.337
0.000 0.837 0.663
0.000 0.663 0.163
0.000 0.000 0.000
0.000 0.500 0.500
```

# 20
First-principles (PBEsol) data for an optimized crystal structure of TcTeSe2, as listed in Alexandria via LeMat-Bulk.

Cell and atoms, written as POSCAR:
```
TcTeSe2
1.0
4.695 -0.002 0.000
-1.622 4.405 0.000
-1.536 -2.202 3.851
Te Tc Se
1 1 2
direct
0.000 0.000 0.000
0.500 0.500 0.000
0.000 0.500 0.500
0.500 0.000 0.500
```

- formation energy without anion corrections (meV/atom) = 400.2

# 21
First-principles (PBEsol) data for an optimized crystal structure of KAsRh2Au, as listed in Alexandria via LeMat-Bulk.

Cell and atoms, written as POSCAR:
```
KAsRh2Au
1.0
-0.577 -3.677 -2.997
-2.755 -2.397 3.470
-4.173 2.147 -1.831
As Rh Au K
1 2 1 1
direct
0.500 0.000 0.000
0.000 0.000 0.500
0.000 0.500 0.000
0.000 0.000 0.000
0.500 0.500 0.500
```

- formation enthalpy at 0 K (kJ/mol of formula units) = 535

# 22
First-principles (PBEsol) data for an optimized crystal structure of K2LiFe, as listed in Alexandria via LeMat-Bulk.

Cell and atoms, written as POSCAR:
```
K2LiFe
1.0
3.184 0.000 0.000
0.000 6.434 0.142
-1.592 -2.093 6.240
K Li Fe
2 1 1
direct
0.767 0.299 0.535
0.965 0.921 0.929
0.561 0.511 0.123
0.207 0.770 0.413
```

- formation enthalpy at 0 K (kJ/mol of formula units) = 321

# 23
First-principles (PBEsol) data for an optimized crystal structure of BaGaIrAu2, as listed in Alexandria via LeMat-Bulk.

Cell and atoms, written as POSCAR:
```
BaGaIrAu2
1.0
4.791 0.000 0.000
0.000 4.900 0.000
0.000 0.000 4.900
Ba Ga Au Ir
1 1 2 1
direct
0.500 0.500 0.500
0.000 0.000 0.000
0.000 0.000 0.500
0.000 0.500 0.000
0.500 0.000 0.000
```

- formation enthalpy at 0 K (kJ/mol of formula units) = 18

# 24
First-principles (PBEsol) data for an optimized crystal structure of Fe2NiSe, as listed in Alexandria via LeMat-Bulk.

Cell and atoms, written as POSCAR:
```
Fe2NiSe
1.0
3.282 0.000 0.000
0.000 3.781 0.000
-1.641 -1.891 3.897
Fe Ni Se
2 1 1
direct
0.257 0.257 0.514
0.743 0.743 0.486
0.500 0.000 0.000
0.000 0.500 0.000
```

- formation energy without anion corrections (meV/atom) = 138.6

# 25
First-principles (PBEsol) data for an optimized crystal structure of Ta2Be2Ni, as listed in Alexandria via LeMat-Bulk.

Cell and atoms, written as POSCAR:
```
Ta2Be2Ni
1.0
3.599 0.000 0.000
0.000 5.818 0.000
0.000 0.000 5.818
Be Ni Ta
4 2 4
direct
0.000 0.371 0.871
0.000 0.629 0.129
0.000 0.871 0.629
0.000 0.129 0.371
0.000 0.500 0.500
0.000 0.000 0.000
0.500 0.674 0.826
0.500 0.826 0.326
0.500 0.326 0.174
0.500 0.174 0.674
```

- formation enthalpy at 0 K (kJ/mol of formula units) = -120

Computed total magnetization (μB/cell) in order:
5.96, 0.00, 9.00, 0.00, 0.00, 0.00, 0.37, 7.39, 0.00, 5.67, 0.00, 0.00, 0.00, 0.00, 0.00, 12.00, 0.00, 0.00, 1.71, 0.76, 2.37, 2.80, 0.01, 5.64, 0.00
Computed total DFT energy (no corrections) (eV/atom) in order:
-5.54, -7.41, -7.14, -7.42, -6.63, -3.24, -5.20, -7.30, -6.39, -3.32, -5.59, -9.34, -2.60, -2.51, -6.95, -7.84, -2.96, -4.38, -1.83, -5.22, -4.18, -2.47, -4.59, -6.85, -8.10